w:
The following is a GGA-PBE calculation of a relaxed Ca2ZnPb2 crystal, from Alexandria.

The structure belongs to space group P4/mbm (No. 127); the cell edges are 8.596, 8.596 and 4.239 Å and the angles 90.00°, 90.00° and 90.00°. The inequivalent atoms are Ca at (0.174, 0.326, 0.000), Zn at (0.000, 0.000, 0.000) and Pb at (0.127, 0.627, 0.500).

The calculation puts the total magnetic moment at 0.00 Bohr magnetons per cell.



x:
The following is a GGA-PBE calculation of a relaxed Ca2ZnPb2 crystal, from Alexandria.

The structure belongs to space group P4/mbm (No. 127); the cell edges are 7.696, 7.696 and 4.925 Å and the angles 90.00°, 90.00° and 90.00°. The inequivalent atoms are Ca at (0.164, 0.336, 0.000), Zn at (0.000, 0.000, 0.500) and Pb at (0.146, 0.646, 0.500).

The calculation puts the total magnetic moment at 0.00 Bohr magnetons per cell.



Energies in kJ/mol of atoms, measured from the most stable structure: w 12.0; x 0.0.



w:
The following is a GGA-PBE calculation of a relaxed Ca4ZnPb crystal, from Alexandria.

The structure belongs to space group C2 (No. 5); the cell edges are 7.445, 7.445 and 7.681 Å and the angles 90.00°, 90.06° and 90.00°. The inequivalent atoms are Ca at (0.250, 0.000, 0.247), Ca at (0.250, 0.000, 0.753), Zn at (0.000, 0.250, 0.000) and Pb at (0.000, 0.750, 0.500).

The calculation puts the total magnetic moment at 0.01 Bohr magnetons per cell.



x:
The following is a GGA-PBE calculation of a relaxed Ca4ZnPb crystal, from Alexandria.

The structure belongs to space group F-43m (No. 216); the cell edges are 9.507, 9.507 and 9.507 Å and the angles 90.00°, 90.00° and 90.00°. The inequivalent atoms are Ca at (0.124, 0.124, 0.124), Zn at (0.000, 0.000, 0.500) and Pb at (0.250, 0.250, 0.750).

The calculation puts the total magnetic moment at 0.00 Bohr magnetons per cell.



Energies in kJ/mol of atoms, measured from the most stable structure: w 0.0; x 47.3.